No. 1
VASP calculation (PBE) on an optimized crystal structure of Mg5Be3.

Calculated values
Size of the total moment, μB/atom: 0.000
Mass density, g cm⁻³: 1.8
Excess energy over the best structure of this formula in the dataset, meV/atom: 65
Formation enthalpy at 0 K, eV/f.u.: 2.83
N(E_F), states/eV/atom: 0.383
V, Å³ per cell: 268.52

Structure (CIF):
```
data_Mg5Be3
_chemical_formula_sum 'Mg10 Be6'
_cell_length_a 7.151
_cell_length_b 8.755
_cell_length_c 4.289
_cell_angle_alpha 90.00
_cell_angle_beta 90.00
_cell_angle_gamma 90.00
_symmetry_space_group_name_H-M 'C m m m'
_symmetry_Int_Tables_number 65
_symmetry_space_group_name_Hall '-C 2 2'
loop_
_atom_site_label
_atom_site_type_symbol
_atom_site_fract_x
_atom_site_fract_y
_atom_site_fract_z
Mg1 Mg 0.000 0.000 0.000
Mg2 Mg 0.213 0.500 0.500
Mg3 Mg 0.250 0.250 0.000
Be1 Be 0.000 0.231 0.500
Be2 Be 0.000 0.500 0.000
```

***

No. 2
VASP calculation (PBE) on an optimized crystal structure of Pm8As6Se.

Calculated values
Size of the total moment, μB/atom: 0.000
Mass density, g cm⁻³: 6.4
E_form (uncorrected), eV per atom: -1.19
N(E_F), states/eV/atom: 0.673
V, Å³ per cell: 436.10

Structure (CIF):
```
data_Pm8As6Se
_chemical_formula_sum 'Pm8 As6 Se1'
_cell_length_a 10.6684
_cell_length_b 10.6684
_cell_length_c 4.4244
_cell_angle_alpha 90.00
_cell_angle_beta 90.00
_cell_angle_gamma 120.00
_symmetry_space_group_name_H-M 'P -3'
_symmetry_Int_Tables_number 147
loop_
_symmetry_equiv_pos_as_xyz
'x,y,z'
'-x,-y,-z'
'-y,x-y,z'
'y,-x+y,-z'
'-x+y,-x,z'
'x-y,x,-z'
loop_
_atom_site_label
_atom_site_type_symbol
_atom_site_fract_x
_atom_site_fract_y
_atom_site_fract_z
Pm1 Pm 0.0321 0.6953 0.2389
Pm2 Pm 0.3333 0.6667 0.7541
As1 As 0.1324 0.4764 0.2586
Se1 Se 0.0000 0.0000 0.0000
```

***

No. 3
VASP calculation (PBE) on an optimized crystal structure of Mg2Tl2Pt.

Calculated values
Size of the total moment, μB/atom: 0.000
Mass density, g cm⁻³: 8.7
Excess energy over the best structure of this formula in the dataset, meV/atom: 340
Formation enthalpy at 0 K, eV/f.u.: 1.19
N(E_F), states/eV/atom: 0.445
V, Å³ per cell: 248.87

Structure (CIF):
```
data_Mg2Tl2Pt
_chemical_formula_sum 'Mg4 Tl4 Pt2'
_cell_length_a 4.009
_cell_length_b 4.009
_cell_length_c 15.483
_cell_angle_alpha 90.00
_cell_angle_beta 90.00
_cell_angle_gamma 90.00
_symmetry_space_group_name_H-M 'I 4/m m m'
_symmetry_Int_Tables_number 139
_symmetry_space_group_name_Hall '-I 4 2'
loop_
_atom_site_label
_atom_site_type_symbol
_atom_site_fract_x
_atom_site_fract_y
_atom_site_fract_z
Mg1 Mg 0.000 0.000 0.086
Tl1 Tl 0.000 0.500 0.250
Pt1 Pt 0.000 0.000 0.500
```

***

No. 4
VASP calculation (PBE) on an optimized crystal structure of Tl7Cd2In.

Calculated values
Size of the total moment, μB/atom: 0.000
Mass density, g cm⁻³: 9.8
Formation enthalpy at 0 K, eV/f.u.: 0.70
N(E_F), states/eV/atom: 0.482
V, Å³ per cell: 600.04

Structure (CIF):
```
data_Tl7Cd2In
_chemical_formula_sum 'Tl14 Cd4 In2'
_cell_length_a 6.271
_cell_length_b 29.006
_cell_length_c 3.299
_cell_angle_alpha 90.00
_cell_angle_beta 90.00
_cell_angle_gamma 90.00
_symmetry_space_group_name_H-M 'C m m m'
_symmetry_Int_Tables_number 65
_symmetry_space_group_name_Hall '-C 2 2'
loop_
_atom_site_label
_atom_site_type_symbol
_atom_site_fract_x
_atom_site_fract_y
_atom_site_fract_z
Tl1 Tl 0.000 0.000 0.000
Tl2 Tl 0.000 0.298 0.500
Tl3 Tl 0.247 0.397 0.000
Cd1 Cd 0.000 0.201 0.000
In1 In 0.000 0.500 0.500
```

***

No. 5
VASP calculation (PBE) on an optimized crystal structure of Nd2SmErP4.

Calculated values
Size of the total moment, μB/atom: 0.000
Mass density, g cm⁻³: 6.2
Formation enthalpy at 0 K, eV/f.u.: -12.45
N(E_F), states/eV/atom: 0.083
V, Å³ per cell: 195.52

Structure (CIF):
```
data_Nd2SmErP4
_chemical_formula_sum 'Nd2 Sm1 Er1 P4'
_cell_length_a 7.105
_cell_length_b 4.107
_cell_length_c 7.107
_cell_angle_alpha 90.00
_cell_angle_beta 109.47
_cell_angle_gamma 90.00
_symmetry_space_group_name_H-M 'P 1 2/m 1'
_symmetry_Int_Tables_number 10
loop_
_symmetry_equiv_pos_as_xyz
'x,y,z'
'-x,-y,-z'
'-x,y,-z'
'x,-y,z'
loop_
_atom_site_label
_atom_site_type_symbol
_atom_site_fract_x
_atom_site_fract_y
_atom_site_fract_z
Nd1 Nd 0.000 0.000 0.000
Nd2 Nd 0.000 0.500 0.500
Sm1 Sm 0.500 0.000 0.500
Er1 Er 0.500 0.500 0.000
P1 P 0.256 0.500 0.248
P2 P 0.259 0.000 0.757
```

***

No. 6
VASP calculation (PBE) on an optimized crystal structure of MnCrRu2.

Calculated values
Size of the total moment, μB/atom: 1.256
Mass density, g cm⁻³: 9.6
Formation enthalpy at 0 K, eV/f.u.: 0.41
N(E_F), states/eV/atom: 1.419
V, Å³ per cell: 214.59

Structure (CIF):
```
data_MnCrRu2
_chemical_formula_sum 'Mn4 Cr4 Ru8'
_cell_length_a 5.987
_cell_length_b 5.987
_cell_length_c 5.987
_cell_angle_alpha 90.00
_cell_angle_beta 90.00
_cell_angle_gamma 90.00
_symmetry_space_group_name_H-M 'F m -3 m'
_symmetry_Int_Tables_number 225
_symmetry_space_group_name_Hall '-F 4 2 3'
loop_
_atom_site_label
_atom_site_type_symbol
_atom_site_fract_x
_atom_site_fract_y
_atom_site_fract_z
Mn1 Mn 0.000 0.000 0.000
Cr1 Cr 0.000 0.000 0.500
Ru1 Ru 0.250 0.250 0.250
```

***

No. 7
VASP calculation (PBE) on an optimized crystal structure of V2TcSbCl.

Calculated values
Size of the total moment, μB/atom: 0.200
Mass density, g cm⁻³: 7.2
Excess energy over the best structure of this formula in the dataset, meV/atom: 0
E_form (uncorrected), eV per atom: 0.60
N(E_F), states/eV/atom: 0.838
V, Å³ per cell: 82.34

Structure (CIF):
```
data_V2TcSbCl
_chemical_formula_sum 'V2 Tc1 Sb1 Cl1'
_cell_length_a 4.292
_cell_length_b 4.292
_cell_length_c 4.469
_cell_angle_alpha 90.00
_cell_angle_beta 90.00
_cell_angle_gamma 90.00
_symmetry_space_group_name_H-M 'P 4/m m m'
_symmetry_Int_Tables_number 123
_symmetry_space_group_name_Hall '-P 4 2'
loop_
_atom_site_label
_atom_site_type_symbol
_atom_site_fract_x
_atom_site_fract_y
_atom_site_fract_z
V1 V 0.000 0.500 0.000
Tc1 Tc 0.000 0.000 0.500
Sb1 Sb 0.500 0.500 0.500
Cl1 Cl 0.000 0.000 0.000
```

***

No. 8
VASP calculation (PBE) on an optimized crystal structure of K4Dy3PuO8.

Calculated values
Size of the total moment, μB/atom: 0.313
Mass density, g cm⁻³: 6.3
E_form (uncorrected), eV per atom: -2.65
N(E_F), states/eV/atom: 0.353
V, Å³ per cell: 802.75

Structure (CIF):
```
data_K4Dy3PuO8
_chemical_formula_sum 'K12 Dy9 Pu3 O24'
_cell_length_a 7.0227
_cell_length_b 7.0227
_cell_length_c 18.7948
_cell_angle_alpha 90.00
_cell_angle_beta 90.00
_cell_angle_gamma 120.00
_symmetry_space_group_name_H-M 'R -3 m'
_symmetry_Int_Tables_number 166
_symmetry_space_group_name_Hall '-R 3 2"'
loop_
_atom_site_label
_atom_site_type_symbol
_atom_site_fract_x
_atom_site_fract_y
_atom_site_fract_z
K1 K 0.0000 0.0000 0.0000
K2 K 0.0000 0.5000 0.0000
Dy1 Dy 0.0000 0.5000 0.5000
Pu1 Pu 0.0000 0.0000 0.5000
O1 O 0.0000 0.0000 0.2285
O2 O 0.0048 0.5024 0.7712
```

***

No. 9
VASP calculation (PBE) on an optimized crystal structure of BaCa2Cl.

Calculated values
Size of the total moment, μB/atom: 0.000
Mass density, g cm⁻³: 2.4
Excess energy over the best structure of this formula in the dataset, meV/atom: 479
E_form (uncorrected), eV per atom: -0.29
N(E_F), states/eV/atom: 1.063
V, Å³ per cell: 173.91

Structure (CIF):
```
data_BaCa2Cl
_chemical_formula_sum 'Ba1 Ca2 Cl1'
_cell_length_a 6.286
_cell_length_b 6.286
_cell_length_c 4.402
_cell_angle_alpha 90.00
_cell_angle_beta 90.00
_cell_angle_gamma 90.00
_symmetry_space_group_name_H-M 'P 4/m m m'
_symmetry_Int_Tables_number 123
_symmetry_space_group_name_Hall '-P 4 2'
loop_
_atom_site_label
_atom_site_type_symbol
_atom_site_fract_x
_atom_site_fract_y
_atom_site_fract_z
Ba1 Ba 0.000 0.000 0.000
Ca1 Ca 0.000 0.500 0.500
Cl1 Cl 0.500 0.500 0.000
```

***

No. 10
VASP calculation (PBE) on an optimized crystal structure of LiV2Ga2.

Calculated values
Size of the total moment, μB/atom: 0.335
Mass density, g cm⁻³: 5.5
Excess energy over the best structure of this formula in the dataset, meV/atom: 136
Formation enthalpy at 0 K, eV/f.u.: 0.35
N(E_F), states/eV/atom: 1.170
V, Å³ per cell: 149.77

Structure (CIF):
```
data_LiV2Ga2
_chemical_formula_sum 'Li2 V4 Ga4'
_cell_length_a 6.647
_cell_length_b 6.647
_cell_length_c 3.390
_cell_angle_alpha 90.00
_cell_angle_beta 90.00
_cell_angle_gamma 90.00
_symmetry_space_group_name_H-M 'P 4/m b m'
_symmetry_Int_Tables_number 127
_symmetry_space_group_name_Hall '-P 4 2ab'
loop_
_atom_site_label
_atom_site_type_symbol
_atom_site_fract_x
_atom_site_fract_y
_atom_site_fract_z
Li1 Li 0.000 0.000 0.000
V1 V 0.166 0.334 0.500
Ga1 Ga 0.135 0.635 0.000
```

***

No. 11
VASP calculation (PBE) on an optimized crystal structure of NaSbBr2.

Calculated values
Size of the total moment, μB/atom: 0.000
Mass density, g cm⁻³: 4.2
Excess energy over the best structure of this formula in the dataset, meV/atom: 275
E_form (uncorrected), eV per atom: -0.48
N(E_F), states/eV/atom: 0.245
V, Å³ per cell: 482.15

Structure (CIF):
```
data_NaSbBr2
_chemical_formula_sum 'Na4 Sb4 Br8'
_cell_length_a 8.089
_cell_length_b 8.089
_cell_length_c 7.369
_cell_angle_alpha 90.00
_cell_angle_beta 90.00
_cell_angle_gamma 90.00
_symmetry_space_group_name_H-M 'I -4 2 d'
_symmetry_Int_Tables_number 122
_symmetry_space_group_name_Hall 'I -4 2bw'
loop_
_atom_site_label
_atom_site_type_symbol
_atom_site_fract_x
_atom_site_fract_y
_atom_site_fract_z
Na1 Na 0.000 0.000 0.000
Sb1 Sb 0.000 0.000 0.500
Br1 Br 0.248 0.250 0.125
```